Record 1
A plane-wave DFT calculation with PBE-GGA was carried out for an optimized crystal structure of NaPm4Te5.

Summary:
Raw formation energy, meV per atom: -1388
Offset from the most stable computed form, eV per atom: 0.000
Spin magnetization, μB/f.u.: 0.00

Cell lengths 11.886, 11.886, 11.886 Å; angles 158.23, 149.20, 38.03 degrees
Positions (direct):
Na  0.000  0.000  0.000
Pm  0.203  0.203  0.000
Pm  0.399  0.399  0.000
Pm  0.601  0.601  0.000
Pm  0.797  0.797  0.000
Te  0.102  0.602  0.500
Te  0.301  0.801  0.500
Te  0.500  0.000  0.500
Te  0.699  0.199  0.500
Te  0.898  0.398  0.500

Record 2
A plane-wave DFT calculation with PBE-GGA was carried out for an optimized crystal structure of NaPmTe.

Summary:
Raw formation energy, meV per atom: -663
Spin magnetization, μB/f.u.: 0.00

Cell lengths 3.912, 3.912, 13.802 Å; angles 90.00, 90.00, 90.00 degrees
Positions (direct):
Na  0.000  0.000  0.000
Na  0.500  0.500  0.500
Pm  0.000  0.000  0.281
Pm  0.500  0.500  0.781
Te  0.000  0.000  0.671
Te  0.500  0.500  0.171

Record 3
A plane-wave DFT calculation with PBE-GGA was carried out for an optimized crystal structure of NaPm2Th3Te6.

Summary:
Raw formation energy, meV per atom: -1169
Spin magnetization, μB/f.u.: 0.00

Cell lengths 10.167, 10.167, 9.192 Å; angles 107.28, 107.28, 24.69 degrees
Positions (direct):
Na  0.000  0.000  0.000
Pm  0.329  0.329  0.662
Pm  0.671  0.671  0.338
Th  0.000  0.000  0.500
Th  0.329  0.329  0.164
Th  0.671  0.671  0.836
Te  0.161  0.161  0.082
Te  0.166  0.166  0.581
Te  0.500  0.500  0.246
Te  0.500  0.500  0.754
Te  0.834  0.834  0.419
Te  0.839  0.839  0.918

Record 4
A plane-wave DFT calculation with PBE-GGA was carried out for an optimized crystal structure of Na3Pm2ThTe6.

Summary:
Raw formation energy, meV per atom: -1255
Spin magnetization, μB/f.u.: 0.00

Cell lengths 7.757, 7.757, 8.064 Å; angles 99.22, 99.22, 119.99 degrees
Positions (direct):
Na  0.000  0.000  0.000
Na  0.332  0.668  0.000
Na  0.668  0.332  0.000
Pm  0.167  0.833  0.500
Pm  0.833  0.167  0.500
Th  0.500  0.500  0.500
Te  0.089  0.420  0.259
Te  0.250  0.250  0.741
Te  0.420  0.089  0.259
Te  0.580  0.911  0.741
Te  0.750  0.750  0.259
Te  0.911  0.580  0.741

Record 5
A plane-wave DFT calculation with PBE-GGA was carried out for an optimized crystal structure of Na3PmTh2Te6.

Summary:
Raw formation energy, meV per atom: -1173
Spin magnetization, μB/f.u.: 0.00

Cell lengths 7.671, 7.671, 8.173 Å; angles 99.00, 99.00, 120.00 degrees
Positions (direct):
Na  0.000  0.000  0.000
Na  0.334  0.666  0.000
Na  0.666  0.334  0.000
Pm  0.500  0.500  0.500
Th  0.167  0.833  0.500
Th  0.833  0.167  0.500
Te  0.084  0.419  0.257
Te  0.246  0.246  0.744
Te  0.419  0.084  0.257
Te  0.581  0.916  0.743
Te  0.754  0.754  0.256
Te  0.916  0.581  0.743

Record 6
A plane-wave DFT calculation with PBE-GGA was carried out for an optimized crystal structure of Na2PmThTe4.

Summary:
Raw formation energy, meV per atom: -1212
Spin magnetization, μB/f.u.: 0.00

Cell lengths 7.724, 4.450, 8.107 Å; angles 90.00, 108.38, 90.00 degrees
Positions (direct):
Na  0.000  0.000  0.000
Na  0.500  0.500  0.000
Pm  0.000  0.500  0.500
Th  0.500  0.000  0.500
Te  0.249  0.000  0.741
Te  0.253  0.500  0.257
Te  0.747  0.500  0.743
Te  0.751  0.000  0.259

Record 7
A plane-wave DFT calculation with PBE-GGA was carried out for an optimized crystal structure of NaPm2ThTe4.

Summary:
Raw formation energy, meV per atom: -1264
Spin magnetization, μB/f.u.: 0.00

Cell lengths 7.716, 4.439, 7.829 Å; angles 90.00, 108.85, 90.00 degrees
Positions (direct):
Na  0.000  0.000  0.000
Pm  0.500  0.000  0.500
Pm  0.500  0.500  0.000
Th  0.000  0.500  0.500
Te  0.248  0.000  0.754
Te  0.248  0.500  0.249
Te  0.752  0.000  0.246
Te  0.752  0.500  0.751

Record 8
A plane-wave DFT calculation with PBE-GGA was carried out for an optimized crystal structure of Na4PmTh3Te8.

Summary:
Raw formation energy, meV per atom: -1154
Spin magnetization, μB/f.u.: 0.00

Cell lengths 9.318, 9.318, 9.318 Å; angles 56.56, 56.56, 56.56 degrees
Positions (direct):
Na  0.000  0.000  0.000
Na  0.000  0.500  0.500
Na  0.500  0.000  0.500
Na  0.500  0.500  0.000
Pm  0.500  0.500  0.500
Th  0.000  0.000  0.500
Th  0.000  0.500  0.000
Th  0.500  0.000  0.000
Te  0.247  0.748  0.748
Te  0.249  0.249  0.249
Te  0.252  0.252  0.753
Te  0.252  0.753  0.252
Te  0.748  0.247  0.748
Te  0.748  0.748  0.247
Te  0.751  0.751  0.751
Te  0.753  0.252  0.252

Record 9
A plane-wave DFT calculation with PBE-GGA was carried out for an optimized crystal structure of NaPm2Tm3Te6.

Summary:
Raw formation energy, meV per atom: -1303
Spin magnetization, μB/f.u.: 0.00

Cell lengths 9.879, 9.879, 8.875 Å; angles 103.83, 103.83, 25.42 degrees
Positions (direct):
Na  0.000  0.000  0.000
Pm  0.328  0.328  0.652
Pm  0.672  0.672  0.348
Tm  0.000  0.000  0.500
Tm  0.333  0.333  0.171
Tm  0.667  0.667  0.829
Te  0.161  0.161  0.593
Te  0.169  0.169  0.077
Te  0.499  0.499  0.256
Te  0.501  0.501  0.744
Te  0.831  0.831  0.923
Te  0.839  0.839  0.407

Record 10
A plane-wave DFT calculation with PBE-GGA was carried out for an optimized crystal structure of Na3PmTm2Te6.

Summary:
Raw formation energy, meV per atom: -1304
Spin magnetization, μB/f.u.: 0.00

Cell lengths 7.675, 7.675, 7.987 Å; angles 99.23, 99.23, 120.00 degrees
Positions (direct):
Na  0.000  0.000  0.000
Na  0.336  0.664  0.000
Na  0.664  0.336  0.000
Pm  0.500  0.500  0.500
Tm  0.167  0.833  0.500
Tm  0.833  0.167  0.500
Te  0.080  0.422  0.268
Te  0.235  0.235  0.732
Te  0.422  0.080  0.268
Te  0.578  0.920  0.732
Te  0.765  0.765  0.268
Te  0.920  0.578  0.732

Record 11
A plane-wave DFT calculation with PBE-GGA was carried out for an optimized crystal structure of Na4PmY3Te8.

Summary:
Raw formation energy, meV per atom: -1330
Spin magnetization, μB/f.u.: 0.00

Cell lengths 9.151, 9.151, 9.151 Å; angles 58.25, 58.25, 58.25 degrees
Positions (direct):
Na  0.000  0.000  0.000
Na  0.000  0.500  0.500
Na  0.500  0.000  0.500
Na  0.500  0.500  0.000
Pm  0.500  0.500  0.500
Y  0.000  0.000  0.500
Y  0.000  0.500  0.000
Y  0.500  0.000  0.000
Te  0.240  0.747  0.747
Te  0.244  0.244  0.244
Te  0.253  0.253  0.760
Te  0.253  0.760  0.253
Te  0.747  0.240  0.747
Te  0.747  0.747  0.240
Te  0.756  0.756  0.756
Te  0.760  0.253  0.253

Record 12
A plane-wave DFT calculation with PBE-GGA was carried out for an optimized crystal structure of Na2PmYTe4.

Summary:
Raw formation energy, meV per atom: -1329
Spin magnetization, μB/f.u.: 0.00

Cell lengths 7.750, 4.475, 8.006 Å; angles 90.00, 108.86, 90.00 degrees
Positions (direct):
Na  0.000  0.000  0.000
Na  0.500  0.500  0.000
Pm  0.000  0.500  0.500
Y  0.500  0.000  0.500
Te  0.251  0.000  0.736
Te  0.260  0.500  0.266
Te  0.740  0.500  0.734
Te  0.749  0.000  0.264

Record 13
A plane-wave DFT calculation with PBE-GGA was carried out for an optimized crystal structure of NaPm2Y3Te6.

Summary:
Raw formation energy, meV per atom: -1361
Spin magnetization, μB/f.u.: 0.00

Cell lengths 9.922, 9.922, 8.906 Å; angles 103.34, 103.34, 25.59 degrees
Positions (direct):
Na  0.000  0.000  0.000
Pm  0.329  0.329  0.655
Pm  0.671  0.671  0.345
Y  0.000  0.000  0.500
Y  0.334  0.334  0.172
Y  0.666  0.666  0.828
Te  0.163  0.163  0.589
Te  0.168  0.168  0.079
Te  0.500  0.500  0.253
Te  0.500  0.500  0.747
Te  0.832  0.832  0.921
Te  0.837  0.837  0.411

Record 14
A plane-wave DFT calculation with PBE-GGA was carried out for an optimized crystal structure of NaPmY2Te4.

Summary:
Raw formation energy, meV per atom: -1349
Spin magnetization, μB/f.u.: 0.00

Cell lengths 7.690, 4.385, 7.705 Å; angles 90.00, 108.89, 90.00 degrees
Positions (direct):
Na  0.000  0.000  0.000
Pm  0.500  0.500  0.000
Y  0.000  0.500  0.500
Y  0.500  0.000  0.500
Te  0.245  0.000  0.744
Te  0.252  0.500  0.257
Te  0.748  0.500  0.743
Te  0.755  0.000  0.256

Record 15
A plane-wave DFT calculation with PBE-GGA was carried out for an optimized crystal structure of Na2PmZrTe4.

Summary:
Raw formation energy, meV per atom: -1090
Spin magnetization, μB/f.u.: 0.00

Cell lengths 7.502, 4.286, 8.076 Å; angles 90.00, 107.68, 90.00 degrees
Positions (direct):
Na  0.000  0.000  0.000
Na  0.500  0.500  0.000
Pm  0.000  0.500  0.500
Zr  0.500  0.000  0.500
Te  0.261  0.000  0.736
Te  0.273  0.500  0.272
Te  0.727  0.500  0.728
Te  0.739  0.000  0.264

Record 16
A plane-wave DFT calculation with PBE-GGA was carried out for an optimized crystal structure of Na3Pm2ZrTe6.

Summary:
Raw formation energy, meV per atom: -1164
Spin magnetization, μB/f.u.: 0.01

Cell lengths 7.585, 7.585, 8.056 Å; angles 99.07, 99.07, 120.03 degrees
Positions (direct):
Na  0.000  0.000  0.000
Na  0.327  0.673  0.000
Na  0.673  0.327  0.000
Pm  0.166  0.834  0.500
Pm  0.834  0.166  0.500
Zr  0.500  0.500  0.500
Te  0.106  0.422  0.266
Te  0.264  0.264  0.735
Te  0.422  0.106  0.266
Te  0.578  0.894  0.734
Te  0.736  0.736  0.265
Te  0.894  0.578  0.734

Record 17
A plane-wave DFT calculation with PBE-GGA was carried out for an optimized crystal structure of NaPmTh.

Summary:
Offset from the most stable computed form, eV per atom: 0.000
Spin magnetization, μB/f.u.: 0.00
Formation enthalpy at 0 K, kcal/mol of atoms: 3.82

Cell lengths 3.551, 3.551, 9.365 Å; angles 90.00, 90.00, 120.00 degrees
Positions (direct):
Na  0.000  0.000  0.000
Pm  0.667  0.333  0.346
Th  0.333  0.667  0.653

Record 18
A plane-wave DFT calculation with PBE-GGA was carried out for an optimized crystal structure of NaPmTh2.

Summary:
Spin magnetization, μB/f.u.: 0.00
Formation enthalpy at 0 K, kcal/mol of atoms: 6.02

Cell lengths 3.474, 3.474, 39.586 Å; angles 90.00, 90.00, 120.00 degrees
Positions (direct):
Na  0.000  0.000  0.000
Na  0.333  0.667  0.667
Na  0.667  0.333  0.333
Pm  0.000  0.000  0.500
Pm  0.333  0.667  0.167
Pm  0.667  0.333  0.833
Th  0.000  0.000  0.090
Th  0.000  0.000  0.910
Th  0.333  0.667  0.576
Th  0.333  0.667  0.757
Th  0.667  0.333  0.243
Th  0.667  0.333  0.424

Record 19
A plane-wave DFT calculation with PBE-GGA was carried out for an optimized crystal structure of NaPmTh.

Summary:
Offset from the most stable computed form, eV per atom: 0.339
Spin magnetization, μB/f.u.: 0.00
Formation enthalpy at 0 K, kcal/mol of atoms: 11.65

Cell lengths 7.968, 6.603, 6.495 Å; angles 74.94, 53.15, 51.91 degrees
Positions (direct):
Na  0.129  0.129  0.871
Na  0.871  0.871  0.129
Pm  0.333  0.667  0.333
Pm  0.667  0.333  0.667
Th  0.250  0.250  0.250
Th  0.750  0.750  0.750

Record 20
A plane-wave DFT calculation with PBE-GGA was carried out for an optimized crystal structure of NaPm5Tl6.

Summary:
Spin magnetization, μB/f.u.: 0.00
Formation enthalpy at 0 K, kcal/mol of atoms: -7.90

Cell lengths 8.644, 8.644, 7.750 Å; angles 90.00, 90.00, 143.34 degrees
Positions (direct):
Na  0.000  0.000  0.000
Pm  0.000  0.000  0.500
Pm  0.333  0.667  0.500
Pm  0.339  0.661  0.000
Pm  0.661  0.339  0.000
Pm  0.667  0.333  0.500
Tl  0.165  0.835  0.245
Tl  0.165  0.835  0.755
Tl  0.500  0.500  0.246
Tl  0.500  0.500  0.754
Tl  0.835  0.165  0.245
Tl  0.835  0.165  0.755